Entry 1:
First-principles (PBE) data for an optimized crystal structure of Ca2Os2Rh, as listed in Alexandria via LeMat-Bulk.

a = 3.500 Å, b = 3.500 Å, c = 9.201 Å
α = 79.04°, β = 79.04°, γ = 90.00°
Element x y z (fractional)
1 Rh 0.000 0.000 0.000
2 Ca 0.401 0.401 0.198
3 Ca 0.599 0.599 0.802
4 Os 0.750 0.250 0.500
5 Os 0.250 0.750 0.500

Summary:
D(E_F) ... 3.05 states/eV per cell
Polymorph energy (0 for the lowest one) ... 0.00 eV per formula unit
Energy ... -0.238 hartree per atom
Energy relative to the elements ... 0.2767 eV/atom
Density ... 8.62 Mg/m³

Entry 2:
First-principles (PBE) data for an optimized crystal structure of CePrNd2S4, as listed in Alexandria via LeMat-Bulk.

a = 8.135 Å, b = 8.135 Å, c = 8.132 Å
α = 119.98°, β = 119.98°, γ = 89.97°
Last column: magnetic moment on the atom in μB.
Element x y z (fractional)
1 Ce 0.500 0.500 0.500  0.57
2 Ce 0.000 0.000 0.000  0.57
3 Pr 0.000 0.500 0.000  0.01
4 Pr 0.000 0.500 0.500  0.01
5 Nd 0.500 0.000 0.000  0.01
6 Nd 0.500 0.000 0.500  0.01
7 Nd 0.000 0.000 0.500  -0.01
8 Nd 0.500 0.500 0.000  -0.01
9 S 0.250 0.754 0.002  0.00
10 S 0.746 0.250 0.498  0.00
11 S 0.254 0.750 0.502  0.00
12 S 0.750 0.246 0.998  0.00
13 S 0.749 0.751 0.997  -0.01
14 S 0.749 0.751 0.503  -0.01
15 S 0.251 0.249 0.497  -0.01
16 S 0.251 0.249 0.003  -0.01

Summary:
D(E_F) ... 15.32 states/eV per cell
Energy ... -0.244 hartree per atom
Density ... 6.08 Mg/m³

Entry 3:
First-principles (PBE) data for an optimized crystal structure of Tb7Y2Tm, as listed in Alexandria via LeMat-Bulk.

a = 5.095 Å, b = 9.834 Å, c = 9.834 Å
α = 128.26°, β = 90.00°, γ = 90.00°
Element x y z (fractional)
1 Tb 0.000 0.808 0.192
2 Tb 0.000 0.192 0.808
3 Tb 0.500 0.076 0.285
4 Tb 0.500 0.924 0.715
5 Tb 0.500 0.285 0.076
6 Tb 0.500 0.715 0.924
7 Tb 0.500 0.500 0.500
8 Y 0.500 0.704 0.296
9 Y 0.500 0.296 0.704
10 Tm 0.000 0.000 0.000

Summary:
D(E_F) ... 12.17 states/eV per cell
Polymorph energy (0 for the lowest one) ... 6.70 eV per formula unit
Energy ... -0.158 hartree per atom
Energy relative to the elements ... 0.6866 eV/atom
Density ... 6.26 Mg/m³

Entry 4:
First-principles (PBE) data for an optimized crystal structure of KAlZn2, as listed in Alexandria via LeMat-Bulk.

a = 5.859 Å, b = 5.859 Å, c = 2.861 Å
α = 83.93°, β = 83.93°, γ = 110.54°
Element x y z (fractional)
1 Zn 0.000 0.000 0.000
2 Zn 0.500 0.500 0.000
3 K 0.000 0.500 0.500
4 Al 0.500 0.000 0.500

Summary:
D(E_F) ... 1.13 states/eV per cell
Energy ... -0.054 hartree per atom
Energy relative to the elements ... 0.3664 eV/atom
Density ... 3.62 Mg/m³

Entry 5:
First-principles (PBE) data for an optimized crystal structure of Hf2Mo3W, as listed in Alexandria via LeMat-Bulk.

a = 5.353 Å, b = 5.353 Å, c = 5.374 Å
α = 89.95°, β = 119.86°, γ = 120.07°
Element x y z (fractional)
1 Hf 0.750 0.375 0.126
2 Hf 0.250 0.625 0.874
3 Mo 0.500 0.500 0.500
4 Mo 0.000 0.000 0.500
5 Mo 0.500 0.000 0.500
6 W 0.000 0.000 0.000

Summary:
D(E_F) ... 3.68 states/eV per cell
Polymorph energy (0 for the lowest one) ... 0.00 eV per formula unit
Energy ... -0.407 hartree per atom
Energy relative to the elements ... -0.1760 eV/atom
Density ... 12.61 Mg/m³

Entry 6:
First-principles (PBE) data for an optimized crystal structure of Cu2SiOs, as listed in Alexandria via LeMat-Bulk.

a = 2.599 Å, b = 2.599 Å, c = 7.871 Å
α = 90.00°, β = 90.00°, γ = 90.00°
Element x y z (fractional)
1 Cu 0.000 0.000 0.995
2 Cu 0.000 0.000 0.505
3 Os 0.500 0.500 0.250
4 Si 0.500 0.500 0.750

Summary:
D(E_F) ... 3.59 states/eV per cell
Energy ... -0.215 hartree per atom
Density ... 10.79 Mg/m³

Entry 7:
First-principles (PBE) data for an optimized crystal structure of RbLi2NiRu, as listed in Alexandria via LeMat-Bulk.

a = 4.515 Å, b = 4.894 Å, c = 4.515 Å
α = 90.00°, β = 90.00°, γ = 90.00°
Last column: magnetic moment on the atom in μB.
Element x y z (fractional)
1 Ru 0.000 0.500 0.000  0.76
2 Li 0.000 0.000 0.500  -0.02
3 Li 0.500 0.000 0.000  -0.01
4 Rb 0.000 0.000 0.000  -0.02
5 Ni 0.500 0.500 0.500  0.67

Summary:
D(E_F) ... 5.33 states/eV per cell
Energy ... -0.081 hartree per atom
Energy relative to the elements ... 1.7587 eV/atom
Density ... 4.31 Mg/m³

Entry 8:
First-principles (PBE) data for an optimized crystal structure of NdCdPt, as listed in Alexandria via LeMat-Bulk.

a = 4.819 Å, b = 4.819 Å, c = 4.819 Å
α = 60.00°, β = 60.00°, γ = 60.00°
Element x y z (fractional)
1 Nd 0.000 0.000 0.000
2 Pt 0.250 0.250 0.250
3 Cd 0.500 0.500 0.500

Summary:
D(E_F) ... 2.40 states/eV per cell
Energy ... -0.170 hartree per atom
Energy relative to the elements ... -0.7281 eV/atom
Density ... 9.48 Mg/m³

Entry 9:
First-principles (PBE) data for an optimized crystal structure of Ca2GeRh, as listed in Alexandria via LeMat-Bulk.

a = 4.117 Å, b = 4.509 Å, c = 5.753 Å
α = 113.07°, β = 90.00°, γ = 90.00°
Element x y z (fractional)
1 Ca 0.000 0.980 0.960
2 Ca 0.500 0.266 0.532
3 Ge 0.500 0.566 0.132
4 Rh 0.000 0.687 0.375

Summary:
D(E_F) ... 2.34 states/eV per cell
Energy ... -0.169 hartree per atom
Energy relative to the elements ... -0.5940 eV/atom
Density ... 4.32 Mg/m³

Entry 10:
First-principles (PBE) data for an optimized crystal structure of Pu6GeRu5, as listed in Alexandria via LeMat-Bulk.

a = 9.639 Å, b = 4.992 Å, c = 6.228 Å
α = 66.17°, β = 77.92°, γ = 58.81°
Last column: magnetic moment on the atom in μB.
Element x y z (fractional)
1 Pu 0.718 0.107 0.351  5.05
2 Pu 0.282 0.543 0.351  5.05
3 Pu 0.211 0.289 0.000  4.86
4 Pu 0.789 0.711 0.000  4.86
5 Pu 0.718 0.457 0.649  5.05
6 Pu 0.282 0.893 0.649  5.05
7 Ge 0.000 0.000 0.000  -0.08
8 Ru 0.500 0.130 0.741  -0.70
9 Ru 0.000 0.319 0.363  -0.68
10 Ru 0.500 0.500 0.000  -0.65
11 Ru 0.000 0.681 0.637  -0.68
12 Ru 0.500 0.870 0.259  -0.70

Summary:
D(E_F) ... 32.26 states/eV per cell
Polymorph energy (0 for the lowest one) ... 0.00 eV per formula unit
Energy ... -0.425 hartree per atom
Energy relative to the elements ... -0.1438 eV/atom
Density ... 14.46 Mg/m³